Computed, not measured: a relaxed TcCNF2 crystal at the PBE level of DFT.

a = 4.7325 Å, b = 4.7325 Å, c = 2.4517 Å
α = 90.00°, β = 90.00°, γ = 90.00°
With the nearest neighbours (Å) after each atom.
Element x y z (fractional)
Tc1 0.0000 0.0000 0.0000  2 Tc 2.45, 8 F 2.66
C1 0.5000 0.5000 0.5000  2 N 1.23
N1 0.5000 0.5000 0.0000  2 C 1.23
F1 0.0000 0.5000 0.5000  2 C 2.37, 2 F 2.45
F2 0.5000 0.0000 0.5000  2 C 2.37, 2 F 2.45

Results
* energy above the lowest structure with this stoichiometry: 0 meV/atom
* ΔE_f (raw): 0.23 eV/atom

***

Computed, not measured: a relaxed TiCN2F crystal at the PBE level of DFT.

a = 3.9854 Å, b = 3.9854 Å, c = 3.8008 Å
α = 90.00°, β = 90.00°, γ = 90.00°
With the nearest neighbours (Å) after each atom.
Element x y z (fractional)
Ti1 0.0000 0.0000 0.0000  2 F 1.90, 4 N 1.99
C1 0.5000 0.5000 0.5000  8 N 2.75, 4 F 2.82
N1 0.0000 0.5000 0.0000  2 Ti 1.99
N2 0.5000 0.0000 0.0000  2 Ti 1.99
F1 0.0000 0.0000 0.5000  2 Ti 1.90

Results
* ΔE_f (raw): 0.98 eV/atom

***

Computed, not measured: a relaxed TiCN2F crystal at the PBE level of DFT.

a = 3.4288 Å, b = 3.4288 Å, c = 3.4783 Å
α = 90.00°, β = 90.00°, γ = 90.00°
With the nearest neighbours (Å) after each atom.
Element x y z (fractional)
Ti1 0.0000 0.0000 0.0000  4 F 2.42, 8 N 2.44
C1 0.5000 0.5000 0.5000  4 N 1.71, 2 F 1.74
N1 0.0000 0.5000 0.5000  2 C 1.71
N2 0.5000 0.0000 0.5000  2 C 1.71
F1 0.5000 0.5000 0.0000  2 C 1.74

Results
* ΔE_f (raw): 0.82 eV/atom

***

Computed, not measured: a relaxed TiC2N6F6 crystal at the PBE level of DFT.

a = 7.2167 Å, b = 7.2167 Å, c = 6.5857 Å
α = 108.57°, β = 108.57°, γ = 63.58°
With the nearest neighbours (Å) after each atom.
Element x y z (fractional)
Ti1 0.0000 0.0000 0.0000  4 F 1.77-1.79
C1 0.2344 0.2344 0.7833  3 N 1.33-1.34
C2 0.6955 0.6955 0.2820  3 N 1.35-1.38
N1 0.0802 0.4134 0.7347  1 C 1.33
N2 0.1904 0.1904 0.9407  1 C 1.34
N3 0.4134 0.0802 0.7347  1 C 1.33
N4 0.5739 0.9091 0.3079  1 C 1.38, 1 F 1.39
N5 0.5772 0.5772 0.2117  1 C 1.35
N6 0.9091 0.5739 0.3079  1 C 1.38, 1 F 1.39
F1 0.0278 0.6995 0.3903  1 N 1.39
F2 0.0829 0.0829 0.2865  1 Ti 1.78
F3 0.2022 0.7989 0.8616  1 Ti 1.79
F4 0.6995 0.0278 0.3903  1 N 1.39
F5 0.7989 0.2022 0.8616  1 Ti 1.79
F6 0.8532 0.8532 0.9881  1 Ti 1.77

Results
* ΔE_f (raw): -0.20 eV/atom

***

Computed, not measured: a relaxed TlCN2F crystal at the PBE level of DFT.

a = 3.2906 Å, b = 3.2906 Å, c = 5.9442 Å
α = 90.00°, β = 90.00°, γ = 90.00°
With the nearest neighbours (Å) after each atom.
Element x y z (fractional)
Tl1 0.0000 0.0000 0.0000  4 F 2.33
C1 0.5000 0.5000 0.5000  4 N 1.65
N1 0.0000 0.5000 0.5000  2 C 1.65
N2 0.5000 0.0000 0.5000  2 C 1.65
F1 0.5000 0.5000 0.0000  4 Tl 2.33

Results
* energy above the lowest structure with this stoichiometry: 0 meV/atom
* ΔE_f (raw): 1.39 eV/atom

***

Computed, not measured: a relaxed TlCN2F crystal at the PBE level of DFT.

a = 4.4777 Å, b = 4.4777 Å, c = 4.5430 Å
α = 90.00°, β = 90.00°, γ = 90.00°
With the nearest neighbours (Å) after each atom.
Element x y z (fractional)
Tl1 0.0000 0.0000 0.0000  4 N 2.24, 2 F 2.27
C1 0.5000 0.5000 0.5000  4 F 3.17, 8 N 3.19
N1 0.0000 0.5000 0.0000  2 Tl 2.24
N2 0.5000 0.0000 0.0000  2 Tl 2.24
F1 0.0000 0.0000 0.5000  2 Tl 2.27

Results
* energy above the lowest structure with this stoichiometry: 1290 meV/atom
* ΔE_f (raw): 2.68 eV/atom